Run P
# DyPd6Pt | the Alexandria database | PBE-GGA | relaxed
data_DyPd6Pt
_symmetry_space_group_name_H-M 'P 4/m m m'
_symmetry_Int_Tables_number 123
_symmetry_space_group_name_Hall '-P 4 2'
_cell_length_a 5.663
_cell_length_b 5.663
_cell_length_c 4.110
_cell_angle_alpha 90.00
_cell_angle_beta 90.00
_cell_angle_gamma 90.00
loop_
_atom_site_label
_atom_site_type_symbol
_atom_site_fract_x
_atom_site_fract_y
_atom_site_fract_z
Dy1 Dy 0.000 0.000 0.000
Pd1 Pd 0.000 0.500 0.000
Pd2 Pd 0.256 0.256 0.500
Pt1 Pt 0.500 0.500 0.000
# Calculated volume, A^3/atom: 16.480
# DOS at the Fermi energy, states/eV per atom: 1.6269



Run Q
# DyPd6Pt | the Alexandria database | PBE-GGA | relaxed
data_DyPd6Pt
_symmetry_space_group_name_H-M 'R -3 m'
_symmetry_Int_Tables_number 166
_symmetry_space_group_name_Hall '-R 3 2"'
_cell_length_a 5.2284
_cell_length_b 5.2284
_cell_length_c 21.9397
_cell_angle_alpha 90.00
_cell_angle_beta 90.00
_cell_angle_gamma 120.00
loop_
_atom_site_label
_atom_site_type_symbol
_atom_site_fract_x
_atom_site_fract_y
_atom_site_fract_z
Dy1 Dy 0.0000 0.0000 0.0000
Pd1 Pd 0.0030 0.5015 0.4389
Pt1 Pt 0.0000 0.0000 0.5000
# Calculated volume, A^3/atom: 21.642
# DOS at the Fermi energy, states/eV per atom: 1.0168



In order of decreasing stability: run P, run Q.



Run P
# DyPd2Pt | the Alexandria database | PBE-GGA | relaxed
data_DyPd2Pt
_symmetry_space_group_name_H-M 'F m -3 m'
_symmetry_Int_Tables_number 225
_symmetry_space_group_name_Hall '-F 4 2 3'
_cell_length_a 6.595
_cell_length_b 6.595
_cell_length_c 6.595
_cell_angle_alpha 90.00
_cell_angle_beta 90.00
_cell_angle_gamma 90.00
loop_
_atom_site_label
_atom_site_type_symbol
_atom_site_fract_x
_atom_site_fract_y
_atom_site_fract_z
Dy1 Dy 0.000 0.000 0.000
Pd1 Pd 0.250 0.250 0.250
Pt1 Pt 0.000 0.000 0.500
# Calculated volume, A^3/atom: 17.930
# DOS at the Fermi energy, states/eV per atom: 0.5067



Run Q
# DyPd2Pt | the Alexandria database | PBE-GGA | relaxed
data_DyPd2Pt
_symmetry_space_group_name_H-M 'P 4/m m m'
_symmetry_Int_Tables_number 123
_symmetry_space_group_name_Hall '-P 4 2'
_cell_length_a 4.132
_cell_length_b 4.132
_cell_length_c 4.098
_cell_angle_alpha 90.00
_cell_angle_beta 90.00
_cell_angle_gamma 90.00
loop_
_atom_site_label
_atom_site_type_symbol
_atom_site_fract_x
_atom_site_fract_y
_atom_site_fract_z
Dy1 Dy 0.000 0.000 0.000
Pd1 Pd 0.000 0.500 0.500
Pt1 Pt 0.500 0.500 0.000
# Calculated volume, A^3/atom: 17.494
# DOS at the Fermi energy, states/eV per atom: 1.1732



In order of decreasing stability: run Q, run P.



Run P
# Dy2Pd3Pt | the Alexandria database | PBE-GGA | relaxed
data_Dy2Pd3Pt
_symmetry_space_group_name_H-M 'I b a m'
_symmetry_Int_Tables_number 72
_symmetry_space_group_name_Hall '-I 2 2c'
_cell_length_a 7.489
_cell_length_b 8.364
_cell_length_c 8.628
_cell_angle_alpha 90.00
_cell_angle_beta 90.00
_cell_angle_gamma 90.00
loop_
_atom_site_label
_atom_site_type_symbol
_atom_site_fract_x
_atom_site_fract_y
_atom_site_fract_z
Dy1 Dy 0.201 0.190 0.000
Pd1 Pd 0.000 0.000 0.250
Pd2 Pd 0.000 0.321 0.250
Pt1 Pt 0.000 0.500 0.000
# Calculated volume, A^3/atom: 22.519
# DOS at the Fermi energy, states/eV per atom: 0.5368



Run Q
# Dy2Pd3Pt | the Alexandria database | PBE-GGA | relaxed
data_Dy2Pd3Pt
_symmetry_space_group_name_H-M 'F d d d'
_symmetry_Int_Tables_number 70
_cell_length_a 10.650
_cell_length_b 11.502
_cell_length_c 16.392
_cell_angle_alpha 90.00
_cell_angle_beta 90.00
_cell_angle_gamma 90.00
loop_
_symmetry_equiv_pos_as_xyz
'x,y,z'
'-x,-y,-z'
'-x+1/4,-y+1/4,z'
'x+1/4,y+1/4,-z'
'x,-y+1/4,-z+1/4'
'-x,y+1/4,z+1/4'
'-x+1/4,y,-z+1/4'
'x+1/4,-y,z+1/4'
'x,y+1/2,z+1/2'
'-x,-y+1/2,-z+1/2'
'-x+1/4,-y+3/4,z+1/2'
'x+1/4,y+3/4,-z+1/2'
'x,-y+3/4,-z+3/4'
'-x,y+3/4,z+3/4'
'-x+1/4,y+1/2,-z+3/4'
'x+1/4,-y+1/2,z+3/4'
'x+1/2,y,z+1/2'
'-x+1/2,-y,-z+1/2'
'-x+3/4,-y+1/4,z+1/2'
'x+3/4,y+1/4,-z+1/2'
'x+1/2,-y+1/4,-z+3/4'
'-x+1/2,y+1/4,z+3/4'
'-x+3/4,y,-z+3/4'
'x+3/4,-y,z+3/4'
'x+1/2,y+1/2,z'
'-x+1/2,-y+1/2,-z'
'-x+3/4,-y+3/4,z'
'x+3/4,y+3/4,-z'
'x+1/2,-y+3/4,-z+1/4'
'-x+1/2,y+3/4,z+1/4'
'-x+3/4,y+1/2,-z+1/4'
'x+3/4,-y+1/2,z+1/4'
loop_
_atom_site_label
_atom_site_type_symbol
_atom_site_fract_x
_atom_site_fract_y
_atom_site_fract_z
Dy1 Dy 0.027 0.264 0.473
Pd1 Pd 0.000 0.000 0.000
Pd2 Pd 0.125 0.125 0.358
Pd3 Pd 0.125 0.341 0.625
Pt1 Pt 0.013 0.375 0.875
# Calculated volume, A^3/atom: 20.916
# DOS at the Fermi energy, states/eV per atom: 0.3540



In order of decreasing stability: run Q, run P.